Record 1
First-principles (GGA+U) data for a relaxed structure of FeReS2F, as listed in Alexandria.

Values from the calculation:
symmetry = No. 123
calculated total energy = -5.706 eV/atom

abc: 4.6613 4.6613 4.0678
angles: 90.00 90.00 90.00
Sites, in units of the cell vectors:
1 Fe 0.0000 0.0000 0.0000
2 Re 0.5000 0.5000 0.5000
3 S 0.0000 0.5000 0.5000
4 S 0.5000 0.0000 0.5000
5 F 0.5000 0.5000 0.0000

***

Record 2
First-principles (GGA+U) data for a relaxed structure of FeReSb2F, as listed in Alexandria.

Values from the calculation:
symmetry = No. 123
calculated total energy = -5.167 eV/atom

abc: 5.2852 5.2852 3.6889
angles: 90.00 90.00 90.00
Sites, in units of the cell vectors:
1 Fe 0.0000 0.0000 0.0000
2 Re 0.5000 0.5000 0.5000
3 Sb 0.0000 0.5000 0.0000
4 Sb 0.5000 0.0000 0.0000
5 F 0.0000 0.0000 0.5000

***

Record 3
First-principles (GGA+U) data for a relaxed structure of SrFeReF2, as listed in Alexandria.

Values from the calculation:
symmetry = No. 123
calculated total energy = -4.544 eV/atom

abc: 4.2502 4.2502 6.3476
angles: 90.00 90.00 90.00
Sites, in units of the cell vectors:
1 Sr 0.0000 0.0000 0.0000
2 Fe 0.5000 0.5000 0.0000
3 Re 0.0000 0.0000 0.5000
4 F 0.0000 0.5000 0.5000
5 F 0.5000 0.0000 0.5000

***

Record 4
First-principles (GGA+U) data for a relaxed structure of FeReTe2F, as listed in Alexandria.

Values from the calculation:
symmetry = No. 123
calculated total energy = -4.111 eV/atom

abc: 5.0140 5.0140 4.9432
angles: 90.00 90.00 90.00
Sites, in units of the cell vectors:
1 Fe 0.0000 0.0000 0.0000
2 Re 0.0000 0.0000 0.5000
3 Te 0.0000 0.5000 0.0000
4 Te 0.5000 0.0000 0.0000
5 F 0.5000 0.5000 0.5000

***

Record 5
First-principles (GGA+U) data for a relaxed structure of TiFeReF2, as listed in Alexandria.

Values from the calculation:
symmetry = No. 123
calculated total energy = -6.354 eV/atom

abc: 3.7863 3.7863 5.8493
angles: 90.00 90.00 90.00
Sites, in units of the cell vectors:
1 Ti 0.0000 0.0000 0.0000
2 Fe 0.0000 0.0000 0.5000
3 Re 0.5000 0.5000 0.5000
4 F 0.0000 0.5000 0.0000
5 F 0.5000 0.0000 0.0000

***

Record 6
First-principles (GGA+U) data for a relaxed structure of ZnFeRe2F, as listed in Alexandria.

Values from the calculation:
symmetry = No. 123
calculated total energy = -4.854 eV/atom

abc: 4.4070 4.4070 4.6615
angles: 90.00 90.00 90.00
Sites, in units of the cell vectors:
1 Zn 0.0000 0.0000 0.0000
2 Fe 0.0000 0.0000 0.5000
3 Re 0.0000 0.5000 0.5000
4 Re 0.5000 0.0000 0.5000
5 F 0.5000 0.5000 0.0000

***

Record 7
First-principles (GGA+U) data for a relaxed structure of ZrFeRe2F, as listed in Alexandria.

Values from the calculation:
symmetry = No. 123
calculated total energy = -6.652 eV/atom

abc: 4.3429 4.3429 5.0098
angles: 90.00 90.00 90.00
Sites, in units of the cell vectors:
1 Zr 0.0000 0.0000 0.0000
2 Fe 0.0000 0.0000 0.5000
3 Re 0.0000 0.5000 0.5000
4 Re 0.5000 0.0000 0.5000
5 F 0.5000 0.5000 0.0000

***

Record 8
First-principles (GGA+U) data for a relaxed structure of Fe2RhF, as listed in Alexandria.

Values from the calculation:
symmetry = No. 122
calculated total energy = -5.318 eV/atom

abc: 5.4027 5.4027 5.4027
angles: 109.74 109.74 108.94
Sites, in units of the cell vectors:
1 Fe 0.0720 0.1250 0.4470
2 Fe 0.3750 0.9280 0.0530
3 Fe 0.6780 0.6250 0.5530
4 Fe 0.8750 0.3220 0.9470
5 Rh 0.2500 0.7500 0.5000
6 Rh 0.5000 0.5000 0.0000
7 F 0.0000 0.0000 0.0000
8 F 0.7500 0.2500 0.5000

***

What did the fourth record say?
First-principles (GGA+U) data for a relaxed structure of FeReTe2F, as listed in Alexandria.

Values from the calculation:
symmetry = No. 123
calculated total energy = -4.111 eV/atom

abc: 5.0140 5.0140 4.9432
angles: 90.00 90.00 90.00
Sites, in units of the cell vectors:
1 Fe 0.0000 0.0000 0.0000
2 Re 0.0000 0.0000 0.5000
3 Te 0.0000 0.5000 0.0000
4 Te 0.5000 0.0000 0.0000
5 F 0.5000 0.5000 0.5000

***

> Among the records above, which one has the highest calculated total energy?

FeReTe2F

***

> Among the records above, which one has the lowest calculated total energy?

ZrFeRe2F

***

> Which formula does entry 3 have?

SrFeReF2